(1)
Compound: TaZn3
Source: Alexandria
Functional: PBE
Structure: optimized geometry

Lattice parameters (Å, degrees): 2.801 4.251 5.350 90.00 99.09 90.00
Space group P2/m (No. 10)
Asymmetric unit:
Ta  0.000  0.000  0.000 (multiplicity 1)
Zn  0.393  0.500  0.755 (multiplicity 2)
Zn  0.500  0.000  0.500 (multiplicity 1)

- Energy relative to the elements: 0.07 eV/atom

(2)
Compound: Ta4Zn5
Source: Alexandria
Functional: PBE
Structure: optimized geometry

Lattice parameters (Å, degrees): 7.8698 7.8698 5.3929 90.00 90.00 120.00
Space group P6_3/mcm (No. 193)
Asymmetric unit:
Ta  0.0000  0.0000  0.0000 (multiplicity 2)
Ta  0.0000  0.3495  0.2500 (multiplicity 6)
Zn  0.0000  0.3155  0.7500 (multiplicity 6)
Zn  0.3333  0.6667  0.0000 (multiplicity 4)

- Energy relative to the elements: 0.15 eV/atom
- Energy above the lowest structure with this stoichiometry: 1.641 eV per formula unit

(3)
Compound: Ta8Zn
Source: Alexandria
Functional: PBE
Structure: optimized geometry

Lattice parameters (Å, degrees): 9.708 9.708 3.421 90.00 90.00 90.00
Space group I4/mmm (No. 139)
Asymmetric unit:
Ta  0.000  0.331  0.000 (multiplicity 8)
Ta  0.165  0.165  0.500 (multiplicity 8)
Zn  0.000  0.000  0.000 (multiplicity 2)

- Energy relative to the elements: 0.02 eV/atom

(4)
Compound: Ta5Zn
Source: Alexandria
Functional: PBE
Structure: optimized geometry

Lattice parameters (Å, degrees): 3.473 13.501 4.522 90.00 90.00 90.00
Space group Cmmm (No. 65)
Asymmetric unit:
Ta  0.000  0.000  0.000 (multiplicity 2)
Ta  0.000  0.164  0.500 (multiplicity 4)
Ta  0.000  0.335  0.000 (multiplicity 4)
Zn  0.000  0.500  0.500 (multiplicity 2)

- Energy relative to the elements: 0.05 eV/atom
- Energy above the lowest structure with this stoichiometry: 0.197 eV per formula unit

(5)
Compound: Ta3Zn
Source: Alexandria
Functional: PBE
Structure: optimized geometry

Lattice parameters (Å, degrees): 5.751 8.496 2.885 90.00 90.00 90.00
Space group Cmmm (No. 65)
Asymmetric unit:
Ta  0.000  0.000  0.000 (multiplicity 2)
Ta  0.250  0.250  0.500 (multiplicity 4)
Zn  0.000  0.500  0.000 (multiplicity 2)

- Energy relative to the elements: 0.13 eV/atom

(6)
Compound: TaZn22
Source: Alexandria
Functional: PBE
Structure: optimized geometry

Lattice parameters (Å, degrees): 14.021 14.021 14.021 90.00 90.00 90.00
Space group Fd-3m (No. 227, origin choice 2)
Asymmetric unit:
Ta  0.125  0.125  0.125 (multiplicity 8)
Zn  0.000  0.000  0.000 (multiplicity 16)
Zn  0.000  0.000  0.500 (multiplicity 16)
Zn  0.015  0.375  0.875 (multiplicity 48)
Zn  0.062  0.062  0.318 (multiplicity 96)

- Energy relative to the elements: 0.02 eV/atom

(7)
Compound: Ta3Zn2
Source: Alexandria
Functional: PBE
Structure: optimized geometry

Lattice parameters (Å, degrees): 9.706 13.525 5.150 90.00 90.00 90.00
Space group Fdd2 (No. 43)
Asymmetric unit:
Ta  0.000  0.000  0.000 (multiplicity 8)
Ta  0.043  0.396  0.027 (multiplicity 16)
Zn  0.028  0.298  0.555 (multiplicity 16)

- Energy relative to the elements: 0.16 eV/atom
- Energy above the lowest structure with this stoichiometry: 0.000 eV per formula unit

(8)
Compound: Ta2Zn3
Source: Alexandria
Functional: PBE
Structure: optimized geometry

Lattice parameters (Å, degrees): 4.3931 4.3931 5.5744 90.00 90.00 120.00
Space group P-3m1 (No. 164)
Asymmetric unit:
Ta  0.3333  0.6667  0.3676 (multiplicity 2)
Zn  0.0000  0.0000  0.5000 (multiplicity 1)
Zn  0.3333  0.6667  0.8748 (multiplicity 2)

- Energy relative to the elements: 0.38 eV/atom
- Energy above the lowest structure with this stoichiometry: 1.542 eV per formula unit

(9)
Compound: TaZn
Source: Alexandria
Functional: PBE
Structure: optimized geometry

Lattice parameters (Å, degrees): 2.8891 2.8891 28.2145 90.00 90.00 120.00
Space group R-3m (No. 166, hexagonal axes)
Asymmetric unit:
Ta  0.0000  0.0000  0.1214 (multiplicity 6)
Zn  0.0000  0.0000  0.3715 (multiplicity 6)

- Energy relative to the elements: 0.13 eV/atom

(10)
Compound: TaZn3
Source: Alexandria
Functional: PBE
Structure: optimized geometry

Lattice parameters (Å, degrees): 4.086 4.095 7.355 90.00 90.00 90.00
Space group Cmmm (No. 65)
Asymmetric unit:
Ta  0.000  0.000  0.000 (multiplicity 2)
Zn  0.000  0.000  0.500 (multiplicity 2)
Zn  0.000  0.500  0.265 (multiplicity 4)

- Energy relative to the elements: 0.01 eV/atom

(11)
Compound: Ta6Zn7
Source: Alexandria
Functional: PBE
Structure: optimized geometry

Lattice parameters (Å, degrees): 5.0635 5.0635 27.5217 90.00 90.00 120.00
Space group R-3m (No. 166, hexagonal axes)
Asymmetric unit:
Ta  0.0000  0.0000  0.0454 (multiplicity 6)
Ta  0.0000  0.0000  0.1501 (multiplicity 6)
Ta  0.0000  0.0000  0.3355 (multiplicity 6)
Zn  0.0000  0.0000  0.5000 (multiplicity 3)
Zn  0.0054  0.5027  0.9090 (multiplicity 18)

- Energy relative to the elements: -0.08 eV/atom

(12)
Compound: Ta2Zn
Source: Alexandria
Functional: PBE
Structure: optimized geometry

Lattice parameters (Å, degrees): 2.831 2.831 26.199 90.00 90.00 90.00
Space group I4_1/amd (No. 141, origin choice 2)
Asymmetric unit:
Ta  0.000  0.250  0.298 (multiplicity 8)
Zn  0.000  0.250  0.875 (multiplicity 4)

- Energy relative to the elements: 0.22 eV/atom

Question: Which of these has the lowest energy relative to the elements?
Answer: Ta6Zn7